*i*
First-principles (PBEsol) data for crystalline BaTa2Tc at its relaxed geometry, as listed in Alexandria.

DOS at the Fermi energy	0.9918	states/eV per atom
total magnetic moment	0.000	μB/cell
crystal system	orthorhombic

a b c (Å): 2.8413 5.5063 5.8217
angles (deg): 118.22 90.00 90.00
Closest atoms and distances in Å follow each position.
Fractional positions:
Ba  0.5000  0.5000  0.0000  2 Tc 2.75, 2 Ba 2.84
Ta  0.0000  0.0000  0.5000  4 Ta 2.75-2.84
Ta  0.0000  0.5000  0.5000  4 Ta 2.75-2.84
Tc  0.5000  0.0000  0.0000  2 Ba 2.75, 2 Tc 2.84

---

*ii*
First-principles (PBEsol) data for crystalline BaTa2Tc at its relaxed geometry, as listed in Alexandria.

DOS at the Fermi energy	1.0913	states/eV per atom
total magnetic moment	0.000	μB/cell
crystal system	orthorhombic

a b c (Å): 3.2285 4.3336 7.7203
angles (deg): 106.30 102.07 90.00
Closest atoms and distances in Å follow each position.
Fractional positions:
Ba  0.1875  0.6875  0.3751  2 Ba 3.23, 2 Tc 3.35
Ta  0.9735  0.9735  0.9469  4 Tc 2.71, 2 Ta 2.77
Ta  0.8543  0.3543  0.7087  2 Tc 2.48, 2 Ta 2.77
Tc  0.4847  0.4847  0.9694  6 Ta 2.48-2.71

---

Short version: *ii* is the most stable of them.